Nb2Bi2PbO9: PBEsol geometry, meta-GGA SCAN. Values from VASP.

Cell and atoms, written as Quantum ESPRESSO input:
```
&SYSTEM
  ibrav = 0, nat = 28, ntyp = 4
/
ATOMIC_SPECIES
Nb 92.91 Nb.upf
Pb 207.20 Pb.upf
O 16.00 O.upf
Bi 208.98 Bi.upf
ATOMIC_POSITIONS crystal
Nb 0.666 0.229 0.829
Nb 0.837 0.229 0.171
Nb 0.334 0.729 0.171
Nb 0.163 0.729 0.829
Pb 0.752 0.749 0.000
Pb 0.248 0.249 0.000
O 0.546 0.975 0.139
O 0.835 0.197 0.318
O 0.592 0.475 0.139
O 0.518 0.197 0.682
O 0.802 0.189 0.000
O 0.739 0.022 0.504
O 0.235 0.022 0.496
O 0.125 0.421 0.177
O 0.947 0.421 0.823
O 0.482 0.697 0.318
O 0.165 0.697 0.682
O 0.765 0.522 0.504
O 0.198 0.689 0.000
O 0.875 0.921 0.823
O 0.053 0.921 0.177
O 0.261 0.522 0.496
O 0.408 0.975 0.861
O 0.454 0.475 0.861
Bi 0.518 0.804 0.599
Bi 0.919 0.804 0.401
Bi 0.081 0.304 0.599
Bi 0.482 0.304 0.401
CELL_PARAMETERS angstrom
-0.288 -4.750 -2.917
3.351 2.197 -3.909
10.126 -1.983 7.567
```

Output
- M_tot (μB per cell) = 0.00
- space group = Cmc2_1
- energy (eV/f.u.) = -383.427
- E above lowest polymorph (meV per atom) = 0
- formation energy (no corrections) (eV per atom) = -2.010


Tl2SbBr: PBEsol geometry, meta-GGA SCAN. Values from VASP.

Cell and atoms, written as Quantum ESPRESSO input:
```
&SYSTEM
  ibrav = 0, nat = 4, ntyp = 3
/
ATOMIC_SPECIES
Br 79.90 Br.upf
Sb 121.76 Sb.upf
Tl 204.38 Tl.upf
ATOMIC_POSITIONS crystal
Br 0.500 0.500 0.500
Sb 0.250 0.250 0.250
Tl 0.000 0.000 0.000
Tl 0.750 0.750 0.750
CELL_PARAMETERS angstrom
-5.126 -1.603 0.092
-2.394 -1.604 -4.533
-1.205 -5.186 -0.711
```

Output
- M_tot (μB per cell) = 0.00
- space group = F-43m
- energy (eV/f.u.) = -201.605
- E above lowest polymorph (meV per atom) = 254
- formation energy (no corrections) (eV per atom) = -0.042


NaYSbTe2: PBEsol geometry, meta-GGA SCAN. Values from VASP.

Cell and atoms, written as Quantum ESPRESSO input:
```
&SYSTEM
  ibrav = 0, nat = 5, ntyp = 4
/
ATOMIC_SPECIES
Te 127.60 Te.upf
Y 88.91 Y.upf
Sb 121.76 Sb.upf
Na 22.99 Na.upf
ATOMIC_POSITIONS crystal
Te 0.000 0.000 0.500
Te 0.000 0.500 0.000
Y 0.000 0.000 0.000
Sb 0.500 0.000 0.000
Na 0.500 0.500 0.500
CELL_PARAMETERS angstrom
-1.016 5.633 0.503
-3.595 -1.045 4.440
4.444 0.471 3.709
```

Output
- M_tot (μB per cell) = 0.00
- space group = P4/mmm
- energy (eV/f.u.) = -145.952
- formation energy (no corrections) (eV per atom) = -0.426


MnIrOs2: PBEsol geometry, meta-GGA SCAN. Values from VASP.

Cell and atoms, written as Quantum ESPRESSO input:
```
&SYSTEM
  ibrav = 0, nat = 4, ntyp = 3
/
ATOMIC_SPECIES
Mn 54.94 Mn.upf
Os 190.23 Os.upf
Ir 192.22 Ir.upf
ATOMIC_POSITIONS crystal
Mn 0.000 0.000 0.500
Os 0.000 0.500 0.000
Os 0.500 0.000 0.000
Ir 0.500 0.500 0.500
CELL_PARAMETERS angstrom
3.748 0.000 0.000
0.000 3.748 0.000
0.000 0.000 3.797
```

Output
- M_tot (μB per cell) = 1.37
- space group = P4/mmm
- energy (eV/f.u.) = -233.569
- E above lowest polymorph (meV per atom) = 0
- formation energy (eV per atom) = -0.114